Compound: LiB6H6
Source: the Alexandria database
Functional: SCAN
Structure: single point on PBEsol structure

Excess energy over the best structure of this formula in the dataset: 1 meV per atom
Energy: -72.51 eV per formula unit
Density of states at the Fermi level: 0.0000 states/eV/atom

Unit cell a=6.662 b=9.297 c=9.601 alpha=90.00 beta=131.35 gamma=90.00
Atoms (fractional coordinates):
Li1 0.128 0.169 0.218
Li2 0.128 0.331 0.718
Li3 0.872 0.669 0.282
Li4 0.872 0.831 0.782
B1 0.186 0.044 0.903
B2 0.186 0.456 0.403
B3 0.253 0.596 0.313
B4 0.253 0.904 0.813
B5 0.314 0.085 0.794
B6 0.314 0.415 0.294
B7 0.340 0.617 0.531
B8 0.340 0.883 0.031
B9 0.439 0.176 0.000
B10 0.439 0.324 0.500
B11 0.453 0.051 0.146
B12 0.453 0.449 0.646
B13 0.547 0.551 0.354
B14 0.547 0.949 0.854
B15 0.561 0.676 0.500
B16 0.561 0.824 0.000
B17 0.660 0.117 0.969
B18 0.660 0.383 0.469
B19 0.686 0.585 0.706
B20 0.686 0.915 0.206
B21 0.747 0.096 0.187
B22 0.747 0.404 0.687
B23 0.814 0.544 0.597
B24 0.814 0.956 0.097
H1 0.042 0.573 0.670
H2 0.042 0.927 0.170
H3 0.073 0.664 0.179
H4 0.073 0.836 0.679
H5 0.180 0.143 0.644
H6 0.180 0.357 0.144
H7 0.225 0.701 0.553
H8 0.225 0.799 0.053
H9 0.400 0.197 0.502
H10 0.400 0.303 0.002
H11 0.434 0.085 0.258
H12 0.434 0.415 0.758
H13 0.566 0.585 0.242
H14 0.566 0.915 0.742
H15 0.600 0.697 0.998
H16 0.600 0.803 0.498
H17 0.775 0.201 0.947
H18 0.775 0.299 0.447
H19 0.820 0.643 0.856
H20 0.820 0.857 0.356
H21 0.927 0.164 0.321
H22 0.927 0.336 0.821
H23 0.958 0.073 0.830
H24 0.958 0.427 0.330